Record 1
## MnNF3 (PBE with a Hubbard U)

Data for MnNF3 after structural relaxation.

Lattice parameters (Å, degrees): 7.3731 3.8888 7.5036 101.08 91.61 58.13
Fractional positions:
F: 0.6732 0.5970 0.3555
F: 0.1719 0.0977 0.3556
F: 0.9343 0.9003 0.5289
F: 0.6949 0.7028 0.6990
F: 0.4339 0.3995 0.5256
F: 0.1962 0.2021 0.6989
Mn: 0.4342 0.8996 0.5268
Mn: 0.9339 0.4002 0.5277
N: 0.9321 0.7057 0.0593
N: 0.4360 0.5942 0.9952

Calculated values
Symmetry: P-1, No. 2
ΔE to the lowest computed polymorph: 0.0 kJ per mole of atoms
E_tot: -25.73 eV per formula unit
Mass density: 2.342 g cm⁻³


Record 2
## MnN2F (PBE with a Hubbard U)

Data for MnN2F after structural relaxation.

Lattice parameters (Å, degrees): 3.8472 3.8472 3.8472 60.00 60.00 60.00
Fractional positions:
Mn: 0.5000 0.5000 0.5000
N: 0.7500 0.7500 0.7500
N: 0.2500 0.2500 0.2500
F: 0.0000 0.0000 0.0000

Calculated values
Symmetry: Fm-3m, No. 225
ΔE to the lowest computed polymorph: 23.5 kJ per mole of atoms
E_tot: -20.75 eV per formula unit
Mass density: 4.204 g cm⁻³


Record 3
## Mn2NF (PBE with a Hubbard U)

Data for Mn2NF after structural relaxation.

Lattice parameters (Å, degrees): 4.9646 4.9646 6.2042 66.42 66.42 90.00
Fractional positions:
F: 0.0000 0.0000 0.0000
F: 0.7500 0.2500 0.5000
Mn: 0.8750 0.8288 0.7500
Mn: 0.5788 0.1250 0.2500
Mn: 0.1712 0.6250 0.2500
Mn: 0.3750 0.4212 0.7500
N: 0.5000 0.5000 0.0000
N: 0.2500 0.7500 0.5000

Calculated values
Symmetry: I-42d, No. 122
E_tot: -28.40 eV per formula unit
Mass density: 3.764 g cm⁻³


no.,density of states at the Fermi level (states/eV per cell)
1,0.07
2,0.92
3,0.79